Crystalline SiPbBr2 at its relaxed geometry, computed with PBE.

abc: 4.9610 4.9610 4.2865
angles: 90.00 90.00 90.00
With the nearest neighbours (Å) after each atom.
Atoms (fractional coordinates):
Si 0.0000 0.0000 0.0000  8 Br 3.28, 4 Pb 3.51
Pb 0.5000 0.5000 0.0000  8 Br 3.28, 4 Si 3.51
Br 0.0000 0.5000 0.5000  4 Pb 3.28, 4 Si 3.28, 4 Br 3.51
Br 0.5000 0.0000 0.5000  4 Pb 3.28, 4 Si 3.28, 4 Br 3.51

Properties
* polymorph energy (0 for the lowest one): 403 meV/atom
* total energy: -2.914 eV/atom
* spin magnetization: 0.00 μB/f.u.